1.
{
  "formula": "Ba2CdIn4Sn3",
  "functional": "GGA-PBE",
  "state": "relaxed",
  "delta_e_f_ev_per_atom": -0.335,
  "crystal_system": "tetragonal",
  "sg": "P-4m2, No. 115",
  "lattice_angstrom": [[5.245, 0.000, 0.000], [0.000, 5.245, 0.000], [0.000, 0.000, 11.590]],
  "species": ["Ba", "Ba", "Cd", "In", "In", "In", "In", "Sn", "Sn", "Sn"],
  "frac_coords": [[0.000, 0.500, 0.244], [0.500, 0.000, 0.756], [0.500, 0.500, 0.000], [0.000, 0.000, 0.500], [0.000, 0.500, 0.875], [0.500, 0.000, 0.125], [0.500, 0.500, 0.500], [0.000, 0.000, 0.000], [0.000, 0.500, 0.627], [0.500, 0.000, 0.373]]
}

---

2.
{
  "formula": "ZnTeAs2",
  "functional": "GGA-PBE",
  "state": "relaxed",
  "e_above_lowest_polymorph_mev_per_atom": 422.6,
  "formation_energy_uncorrected_ev_per_atom": 0.31,
  "crystal_system": "tetragonal",
  "sg": "P4/mmm, No. 123",
  "lattice_angstrom": [[3.744, 0.000, 0.000], [0.000, 3.744, 0.000], [0.000, 0.000, 6.193]],
  "species": ["Zn", "Te", "As", "As"],
  "frac_coords": [[0.000, 0.000, 0.000], [0.000, 0.000, 0.500], [0.500, 0.500, 0.199], [0.500, 0.500, 0.801]]
}

---

3.
{
  "formula": "FeTc2Br",
  "functional": "GGA-PBE",
  "state": "relaxed",
  "e_above_lowest_polymorph_mev_per_atom": 0.0,
  "formation_energy_uncorrected_ev_per_atom": 0.43,
  "crystal_system": "monoclinic",
  "sg": "Pm, No. 6",
  "lattice_angstrom": [[3.094, 0.000, 0.000], [0.000, 3.034, 0.000], [-0.029, 0.000, 7.360]],
  "species": ["Fe", "Tc", "Tc", "Br"],
  "frac_coords": [[0.000, 0.000, 0.000], [0.496, 0.500, 0.781], [0.994, 0.000, 0.595], [0.984, 0.500, 0.287]]
}

---

4.
{
  "formula": "AcLa5Sn3",
  "functional": "GGA-PBE",
  "state": "relaxed",
  "delta_e_f_ev_per_atom": -0.586,
  "e_above_lowest_polymorph_mev_per_atom": 0.0,
  "crystal_system": "hexagonal",
  "sg": "P6_3/mcm, No. 193",
  "lattice_angstrom": [[9.878, 0.000, 0.000], [-4.939, 8.555, 0.000], [0.000, 0.000, 7.009]],
  "species": ["Ac", "Ac", "La", "La", "La", "La", "La", "La", "La", "La", "La", "La", "Sn", "Sn", "Sn", "Sn", "Sn", "Sn"],
  "frac_coords": [[0.000, 0.000, 0.000], [0.000, 0.000, 0.500], [0.000, 0.336, 0.250], [0.000, 0.664, 0.750], [0.333, 0.667, 0.000], [0.333, 0.667, 0.500], [0.336, 0.000, 0.250], [0.336, 0.336, 0.750], [0.664, 0.000, 0.750], [0.664, 0.664, 0.250], [0.667, 0.333, 0.000], [0.667, 0.333, 0.500], [0.000, 0.335, 0.750], [0.000, 0.665, 0.250], [0.335, 0.000, 0.750], [0.335, 0.335, 0.250], [0.665, 0.000, 0.250], [0.665, 0.665, 0.750]]
}